Here is a relaxed Pr12Nd5Sm3 crystal from Alexandria. Energies are from GGA-PBE.

Summary:
The volume comes out at 41.7 A^3/atom. The density is 5.700 Mg/m³. The electronic total energy comes out at -306.76 eV for the cell shown. Its formation energy is 18.66 eV/f.u. The density of states at the Fermi level is 172.091 states/eV/cell. The space-group type is No. 230.

Geometry as CIF:
```
data_Pr12Nd5Sm3
_symmetry_space_group_name_H-M 'P 1'
_symmetry_Int_Tables_number 1
_cell_length_a 16.304
_cell_length_b 16.304
_cell_length_c 16.304
_cell_angle_alpha 109.47
_cell_angle_beta 109.47
_cell_angle_gamma 109.47
loop_
_symmetry_equiv_pos_as_xyz
'x,y,z'
loop_
_atom_site_label
_atom_site_type_symbol
_atom_site_fract_x
_atom_site_fract_y
_atom_site_fract_z
Pr1 Pr 0.402 0.134 0.565
Pr2 Pr 0.634 0.565 0.902
Pr3 Pr 0.837 0.935 0.069
Pr4 Pr 0.435 0.366 0.598
Pr5 Pr 0.565 0.634 0.402
Pr6 Pr 0.065 0.163 0.431
Pr7 Pr 0.569 0.232 0.134
Pr8 Pr 0.098 0.935 0.366
Pr9 Pr 0.366 0.931 0.768
Pr10 Pr 0.232 0.569 0.634
Pr11 Pr 0.866 0.598 0.935
Pr12 Pr 0.098 0.163 0.232
Pr13 Pr 0.663 0.431 0.565
Pr14 Pr 0.232 0.663 0.098
Pr15 Pr 0.902 0.065 0.634
Pr16 Pr 0.569 0.337 0.935
Pr17 Pr 0.931 0.366 0.268
Pr18 Pr 0.935 0.098 0.866
Pr19 Pr 0.134 0.402 0.065
Pr20 Pr 0.931 0.565 0.163
Pr21 Pr 0.163 0.065 0.931
Pr22 Pr 0.268 0.866 0.931
Pr23 Pr 0.069 0.634 0.732
Pr24 Pr 0.732 0.134 0.069
Pr25 Pr 0.732 0.598 0.163
Pr26 Pr 0.069 0.435 0.837
Pr27 Pr 0.663 0.232 0.598
Pr28 Pr 0.837 0.902 0.268
Pr29 Pr 0.337 0.569 0.435
Pr30 Pr 0.902 0.837 0.768
Pr31 Pr 0.431 0.768 0.866
Pr32 Pr 0.768 0.337 0.902
Pr33 Pr 0.435 0.069 0.337
Pr34 Pr 0.431 0.663 0.065
Pr35 Pr 0.598 0.866 0.435
Pr36 Pr 0.268 0.402 0.837
Pr37 Pr 0.634 0.069 0.232
Pr38 Pr 0.134 0.732 0.569
Pr39 Pr 0.366 0.435 0.098
Pr40 Pr 0.337 0.768 0.402
Pr41 Pr 0.866 0.268 0.431
Pr42 Pr 0.163 0.098 0.732
Pr43 Pr 0.598 0.732 0.663
Pr44 Pr 0.935 0.837 0.569
Pr45 Pr 0.768 0.431 0.366
Pr46 Pr 0.065 0.902 0.134
Pr47 Pr 0.402 0.268 0.337
Pr48 Pr 0.565 0.931 0.663
Sm1 Sm 0.250 0.125 0.375
Sm2 Sm 0.625 0.250 0.375
Sm3 Sm 0.125 0.250 0.875
Sm4 Sm 0.750 0.375 0.125
Sm5 Sm 0.750 0.875 0.625
Sm6 Sm 0.875 0.125 0.250
Sm7 Sm 0.875 0.750 0.125
Sm8 Sm 0.375 0.625 0.250
Sm9 Sm 0.375 0.750 0.625
Sm10 Sm 0.250 0.625 0.875
Sm11 Sm 0.125 0.875 0.750
Sm12 Sm 0.625 0.375 0.750
Nd1 Nd 0.625 0.875 0.250
Nd2 Nd 0.875 0.250 0.625
Nd3 Nd 0.375 0.250 0.125
Nd4 Nd 0.000 0.000 0.500
Nd5 Nd 0.875 0.625 0.750
Nd6 Nd 0.000 0.000 0.000
Nd7 Nd 0.000 0.500 0.500
Nd8 Nd 0.500 0.000 0.000
Nd9 Nd 0.250 0.375 0.625
Nd10 Nd 0.375 0.125 0.750
Nd11 Nd 0.750 0.125 0.875
Nd12 Nd 0.125 0.750 0.375
Nd13 Nd 0.000 0.500 0.000
Nd14 Nd 0.125 0.375 0.250
Nd15 Nd 0.500 0.000 0.500
Nd16 Nd 0.500 0.500 0.500
Nd17 Nd 0.250 0.875 0.125
Nd18 Nd 0.750 0.625 0.375
Nd19 Nd 0.500 0.500 0.000
Nd20 Nd 0.625 0.750 0.875
```